1.
VASP calculation (GGA-PBE) on a relaxed structure of Dy3Sb.

Cell: 6.482 4.001 9.454 Å, 90.00 100.16 90.00°
Fractional positions:
Dy (0.088, 0.250, 0.358)
Dy (0.271, 0.750, 0.087)
Dy (0.406, 0.750, 0.631)
Dy (0.594, 0.250, 0.369)
Dy (0.729, 0.250, 0.913)
Dy (0.912, 0.750, 0.642)
Sb (0.213, 0.250, 0.838)
Sb (0.787, 0.750, 0.162)

Polymorph energy (0 for the lowest one) in meV per atom: 87
Uncorrected formation energy in eV/atom: -0.4956

2.
VASP calculation (GGA-PBE) on a relaxed structure of Dy5Sb4.

Cell: 7.475 7.475 7.475 Å, 99.69 99.69 131.57°
Fractional positions:
Dy (0.000, 0.000, 0.000)
Dy (0.204, 0.602, 0.806)
Dy (0.398, 0.204, 0.602)
Dy (0.602, 0.796, 0.398)
Dy (0.796, 0.398, 0.194)
Sb (0.097, 0.300, 0.397)
Sb (0.300, 0.903, 0.204)
Sb (0.700, 0.097, 0.796)
Sb (0.903, 0.700, 0.603)

Uncorrected formation energy in eV/atom: -0.9004

3.
VASP calculation (GGA-PBE) on a relaxed structure of Dy5Sb3.

Cell: 8.981 8.981 6.303 Å, 90.00 90.00 120.00°
Fractional positions:
Dy (0.000, 0.247, 0.250)
Dy (0.000, 0.753, 0.750)
Dy (0.247, 0.000, 0.250)
Dy (0.247, 0.247, 0.750)
Dy (0.333, 0.667, 0.000)
Dy (0.333, 0.667, 0.500)
Dy (0.667, 0.333, 0.000)
Dy (0.667, 0.333, 0.500)
Dy (0.753, 0.000, 0.750)
Dy (0.753, 0.753, 0.250)
Sb (0.000, 0.389, 0.750)
Sb (0.000, 0.611, 0.250)
Sb (0.389, 0.000, 0.750)
Sb (0.389, 0.389, 0.250)
Sb (0.611, 0.000, 0.250)
Sb (0.611, 0.611, 0.750)

Uncorrected formation energy in eV/atom: -0.9245

4.
VASP calculation (GGA-PBE) on a relaxed structure of Dy4Sb3.

Cell: 6.101 6.101 6.101 Å, 90.00 90.00 90.00°
Fractional positions:
Dy (0.000, 0.000, 0.000)
Dy (0.000, 0.500, 0.500)
Dy (0.500, 0.000, 0.500)
Dy (0.500, 0.500, 0.000)
Sb (0.000, 0.000, 0.500)
Sb (0.000, 0.500, 0.000)
Sb (0.500, 0.000, 0.000)

Polymorph energy (0 for the lowest one) in meV per atom: 199
Uncorrected formation energy in eV/atom: -0.7933

5.
VASP calculation (GGA-PBE) on a relaxed structure of Dy3Sb.

Cell: 4.627 4.627 10.454 Å, 90.00 90.00 90.00°
Fractional positions:
Dy (0.000, 0.000, 0.000)
Dy (0.000, 0.500, 0.250)
Dy (0.000, 0.500, 0.750)
Dy (0.500, 0.000, 0.250)
Dy (0.500, 0.000, 0.750)
Dy (0.500, 0.500, 0.500)
Sb (0.000, 0.000, 0.500)
Sb (0.500, 0.500, 0.000)

Polymorph energy (0 for the lowest one) in meV per atom: 116
Uncorrected formation energy in eV/atom: -0.4665

6.
VASP calculation (GGA-PBE) on a relaxed structure of Dy2Sb3.

Cell: 8.607 4.260 8.373 Å, 90.00 98.66 90.00°
Fractional positions:
Dy (0.150, 0.000, 0.303)
Dy (0.350, 0.500, 0.697)
Dy (0.650, 0.500, 0.303)
Dy (0.850, 0.000, 0.697)
Sb (0.000, 0.500, 0.500)
Sb (0.182, 0.000, 0.889)
Sb (0.318, 0.500, 0.111)
Sb (0.500, 0.000, 0.500)
Sb (0.682, 0.500, 0.889)
Sb (0.818, 0.000, 0.111)

Uncorrected formation energy in eV/atom: -0.6843

7.
VASP calculation (GGA-PBE) on a relaxed structure of DySb3.

Cell: 4.467 4.467 10.850 Å, 90.00 90.00 90.00°
Fractional positions:
Dy (0.000, 0.000, 0.000)
Dy (0.500, 0.500, 0.500)
Sb (0.000, 0.000, 0.500)
Sb (0.000, 0.500, 0.250)
Sb (0.000, 0.500, 0.750)
Sb (0.500, 0.000, 0.250)
Sb (0.500, 0.000, 0.750)
Sb (0.500, 0.500, 0.000)

Polymorph energy (0 for the lowest one) in meV per atom: 63
Uncorrected formation energy in eV/atom: -0.4199

8.
VASP calculation (GGA-PBE) on a relaxed structure of DySb3.

Cell: 4.372 6.186 4.519 Å, 90.00 90.00 90.00°
Fractional positions:
Dy (0.000, 0.000, 0.000)
Sb (0.000, 0.500, 0.884)
Sb (0.500, 0.000, 0.488)
Sb (0.500, 0.500, 0.317)

Polymorph energy (0 for the lowest one) in meV per atom: 0
Uncorrected formation energy in eV/atom: -0.4832